Material: PrSnGeAu
Method: DFT, GGA-PBE
State: relaxed

**Total DFT energy (no corrections)**: -0.1683 Ha/atom
**Energy relative to the elements**: -159 kJ/mol of formula units

a b c (Å): 5.1458 5.1458 5.1458
angles (deg): 60.00 60.00 60.00
Fractional coordinates of all 4 atoms:
Ge1 0.7500 0.7500 0.7500
Pr1 0.5000 0.5000 0.5000
Au1 0.2500 0.2500 0.2500
Sn1 0.0000 0.0000 0.0000

***

Material: Cu3PdSe6
Method: DFT, GGA-PBE
State: relaxed

**Total DFT energy (no corrections)**: -0.1419 Ha/atom
**Formation energy without anion corrections**: -22 meV per atom

a b c (Å): 3.8672 7.4131 7.4131
angles (deg): 96.92 90.00 90.00
Fractional coordinates of all 10 atoms:
Cu1 0.0000 0.0000 0.0000
Cu2 0.5000 0.0000 0.5000
Cu3 0.5000 0.5000 0.0000
Se1 0.0000 0.3167 0.0834
Se2 0.0000 0.6833 0.9166
Se3 0.0000 0.0834 0.3167
Se4 0.5000 0.6483 0.3517
Se5 0.0000 0.9166 0.6833
Se6 0.5000 0.3517 0.6483
Pd1 0.0000 0.5000 0.5000

***

Material: Pr3Dy2YTm6
Method: DFT, GGA-PBE
State: relaxed

**Total DFT energy (no corrections)**: -0.1731 Ha/atom
**Energy relative to the elements**: 29 kJ/mol of formula units

a b c (Å): 6.1821 6.1821 11.7255
angles (deg): 95.03 95.03 119.97
Fractional coordinates of all 12 atoms:
Pr1 0.5000 0.5000 0.5000
Pr2 0.1665 0.8335 0.5000
Pr3 0.8335 0.1665 0.5000
Tm1 0.4163 0.0821 0.2461
Tm2 0.9179 0.5837 0.7539
Tm3 0.7480 0.7480 0.2461
Tm4 0.0821 0.4163 0.2461
Tm5 0.5837 0.9179 0.7539
Tm6 0.2520 0.2520 0.7539
Dy1 0.3334 0.6666 0.0000
Dy2 0.6666 0.3334 0.0000
Y1 0.0000 0.0000 0.0000

***

Material: ScCd2Si
Method: DFT, GGA-PBE
State: relaxed

**Total DFT energy (no corrections)**: -0.1260 Ha/atom
**Formation energy without anion corrections**: -32 meV per atom

a b c (Å): 5.2360 5.2360 3.3720
angles (deg): 90.00 90.00 114.57
Fractional coordinates of all 4 atoms:
Sc1 0.5000 0.0000 0.5000
Si1 0.0000 0.5000 0.5000
Cd1 0.0000 0.0000 0.0000
Cd2 0.5000 0.5000 0.0000

***

Material: Ti3CdB
Method: DFT, GGA-PBE
State: relaxed

**Total DFT energy (no corrections)**: -0.2385 Ha/atom
**Energy relative to the elements**: -113 kJ/mol of formula units

a b c (Å): 4.3312 4.3312 4.3312
angles (deg): 90.00 90.00 90.00
Fractional coordinates of all 5 atoms:
Cd1 0.5000 0.5000 0.5000
Ti1 0.5000 0.0000 0.0000
Ti2 0.0000 0.0000 0.5000
Ti3 0.0000 0.5000 0.0000
B1 0.0000 0.0000 0.0000

***

Material: Ba3Sr3In2Au
Method: DFT, GGA-PBE
State: relaxed

**Total DFT energy (no corrections)**: -0.0930 Ha/atom
**Energy relative to the elements**: -310 kJ/mol of formula units

a b c (Å): 4.5961 9.7559 9.7559
angles (deg): 120.00 90.00 90.00
Fractional coordinates of all 9 atoms:
Sr1 0.5000 0.0000 0.7589
Sr2 0.5000 0.7589 0.0000
Sr3 0.5000 0.2411 0.2411
Ba1 0.0000 0.4127 0.0000
Ba2 0.0000 0.0000 0.4127
Ba3 0.0000 0.5873 0.5873
In1 0.5000 0.3333 0.6667
In2 0.5000 0.6667 0.3333
Au1 0.0000 0.0000 0.0000

***

Material: TaAlZn3
Method: DFT, GGA-PBE
State: relaxed

**Total DFT energy (no corrections)**: -0.0985 Ha/atom
**Energy relative to the elements**: 580 kJ/mol of formula units

a b c (Å): 5.0399 5.0399 5.0399
angles (deg): 90.00 90.00 90.00
Fractional coordinates of all 5 atoms:
Zn1 0.0000 0.5000 0.0000
Zn2 0.5000 0.0000 0.0000
Zn3 0.0000 0.0000 0.5000
Ta1 0.0000 0.0000 0.0000
Al1 0.5000 0.5000 0.5000

***

Material: LiMgCr2Rh
Method: DFT, GGA-PBE
State: relaxed

**Total DFT energy (no corrections)**: -0.1948 Ha/atom
**Energy relative to the elements**: 348 kJ/mol of formula units

a b c (Å): 4.6996 4.6625 4.6996
angles (deg): 90.00 90.00 90.00
Last column: magnetic moment on the atom in μB.
Fractional coordinates of all 5 atoms:
Cr1 0.5000 0.0000 0.0000  3.46
Cr2 0.0000 0.0000 0.5000  2.95
Mg1 0.5000 0.5000 0.5000  -0.04
Li1 0.0000 0.5000 0.0000  -0.02
Rh1 0.0000 0.0000 0.0000  -0.16

***

Material: Sr3Pu2TaAs6
Method: DFT, GGA-PBE
State: relaxed

**Total DFT energy (no corrections)**: -0.2590 Ha/atom
**Energy relative to the elements**: -1074 kJ/mol of formula units

a b c (Å): 7.1969 7.1969 7.4543
angles (deg): 99.30 99.30 120.03
Last column: magnetic moment on the atom in μB.
Fractional coordinates of all 12 atoms:
As1 0.3849 0.0702 0.2112  -0.10
As2 0.0702 0.3849 0.2112  -0.10
As3 0.7576 0.7576 0.2125  -0.11
As4 0.6151 0.9298 0.7888  -0.10
As5 0.9298 0.6151 0.7888  -0.10
As6 0.2424 0.2424 0.7875  -0.11
Ta1 0.0000 0.0000 0.0000  0.13
Sr1 0.8298 0.1702 0.5000  -0.02
Sr2 0.1702 0.8298 0.5000  -0.02
Sr3 0.5000 0.5000 0.5000  -0.02
Pu1 0.6660 0.3340 0.0000  4.90
Pu2 0.3340 0.6660 0.0000  4.90

***

Material: KLi2Cd2Bi2
Method: DFT, GGA-PBE
State: relaxed

**Total DFT energy (no corrections)**: -0.0891 Ha/atom
**Energy relative to the elements**: -236 kJ/mol of formula units

a b c (Å): 4.9095 4.9095 10.0051
angles (deg): 75.80 75.80 60.00
Fractional coordinates of all 7 atoms:
Li1 0.8556 0.8556 0.4333
Li2 0.1444 0.1444 0.5667
Cd1 0.5507 0.5507 0.3479
Cd2 0.4493 0.4493 0.6521
Bi1 0.2504 0.2504 0.2488
Bi2 0.7496 0.7496 0.7512
K1 0.0000 0.0000 0.0000